The following is a PBE calculation of an optimized crystal structure of AcSi3Rh3, from the Alexandria database.

Lattice parameters (Å, degrees): 6.574 6.574 6.574 90.00 90.00 90.00
Space group Pm-3n (No. 223)
Unique sites:
Ac 0.000 0.000 0.000 x2
Si 0.000 0.250 0.500 x6
Rh 0.000 0.500 0.250 x6

Computed properties:
The calculation puts the density of states at the Fermi level at 10.42 states/eV/cell. The calculation puts the offset from the most stable computed form at 73 meV per atom. The crystal system is cubic. The calculated density comes out at 7.25 Mg/m³. As for the total magnetic moment: 0.000 μB per cell. The calculation puts the uncorrected formation energy at -0.66 eV per atom.